(1)
Entry from Alexandria: a relaxed KInBP2HO9 crystal (GGA-PBEsol).

Summary:
The total DFT energy (no corrections) is -105.38 eV per formula unit. As for the space group: P-1.

abc: 5.293 8.304 8.383
angles: 89.27 87.40 79.99
Fractional positions:
K 0.218 0.117 0.326
K 0.782 0.883 0.674
In 0.217 0.209 0.808
In 0.783 0.791 0.192
B 0.398 0.565 0.730
B 0.602 0.435 0.270
P 0.283 0.811 0.941
P 0.308 0.701 0.425
P 0.692 0.299 0.575
P 0.717 0.189 0.059
H 0.115 0.539 0.891
H 0.885 0.461 0.109
O 0.045 0.731 0.989
O 0.058 0.801 0.369
O 0.199 0.956 0.828
O 0.226 0.467 0.812
O 0.250 0.662 0.604
O 0.367 0.535 0.333
O 0.420 0.857 0.085
O 0.466 0.206 0.591
O 0.477 0.679 0.843
O 0.523 0.321 0.157
O 0.534 0.794 0.409
O 0.580 0.143 0.915
O 0.633 0.465 0.667
O 0.750 0.338 0.396
O 0.774 0.533 0.188
O 0.801 0.044 0.172
O 0.942 0.199 0.631
O 0.955 0.269 0.011

(2)
Entry from Alexandria: a relaxed NaInBP2HO9 crystal (GGA-PBEsol).

Summary:
The total DFT energy (no corrections) is -105.14 eV per formula unit. As for the space group: P2_1/c.

abc: 5.158 17.000 9.021
angles: 90.00 121.98 90.00
Fractional positions:
Na 0.017 0.171 0.161
Na 0.017 0.329 0.661
Na 0.983 0.671 0.339
Na 0.983 0.829 0.839
In 0.486 0.660 0.809
In 0.486 0.840 0.309
In 0.514 0.160 0.691
In 0.514 0.340 0.191
B 0.354 0.523 0.243
B 0.354 0.977 0.743
B 0.646 0.023 0.257
B 0.646 0.477 0.757
P 0.245 0.668 0.087
P 0.245 0.832 0.587
P 0.262 0.091 0.923
P 0.262 0.409 0.423
P 0.738 0.591 0.577
P 0.738 0.909 0.077
P 0.755 0.168 0.413
P 0.755 0.332 0.913
H 0.356 0.510 0.838
H 0.356 0.990 0.338
H 0.644 0.010 0.662
H 0.644 0.490 0.162
O 0.013 0.641 0.624
O 0.013 0.859 0.124
O 0.051 0.198 0.575
O 0.051 0.302 0.075
O 0.158 0.022 0.787
O 0.158 0.478 0.287
O 0.159 0.586 0.130
O 0.159 0.914 0.630
O 0.357 0.719 0.250
O 0.357 0.781 0.750
O 0.363 0.054 0.105
O 0.363 0.446 0.605
O 0.456 0.030 0.652
O 0.456 0.470 0.152
O 0.474 0.635 0.570
O 0.474 0.865 0.070
O 0.496 0.159 0.450
O 0.496 0.341 0.950
O 0.504 0.659 0.050
O 0.504 0.841 0.550
O 0.526 0.135 0.930
O 0.526 0.365 0.430
O 0.544 0.530 0.848
O 0.544 0.970 0.348
O 0.637 0.554 0.395
O 0.637 0.946 0.895
O 0.643 0.219 0.250
O 0.643 0.281 0.750
O 0.841 0.086 0.370
O 0.841 0.414 0.870
O 0.842 0.522 0.713
O 0.842 0.978 0.213
O 0.949 0.698 0.925
O 0.949 0.802 0.425
O 0.987 0.141 0.876
O 0.987 0.359 0.376

(3)
Entry from Alexandria: a relaxed NiB2HIr crystal (GGA-PBEsol).

Summary:
The total DFT energy (no corrections) is -30.97 eV per formula unit. As for the space group: P4/mmm.

abc: 3.664 3.664 2.938
angles: 90.00 90.00 90.00
Fractional positions:
Ni 0.000 0.000 0.000
B 0.000 0.500 0.500
B 0.500 0.000 0.500
H 0.000 0.000 0.500
Ir 0.500 0.500 0.000